A plane-wave DFT calculation with SCAN was carried out for a PBEsol-optimized structure of BaTlAu.

```
3
Lattice="4.948 0.000 0.000 -2.474 4.285 0.000 0.000 0.000 4.277" Properties=species:S:1:pos:R:3 pbc="T T T"
Ba 0.000 0.000 0.000
Tl 2.474 1.428 2.139
Au 0.000 2.857 2.139
```

Properties
As for the formation energy: -677 meV/atom. For the density of states at the Fermi level, the calculation gives 1.92 states/eV per cell. The energy comes out at -183.10 eV per cell.

=====

A plane-wave DFT calculation with SCAN was carried out for a PBEsol-optimized structure of BaTlAu4.

```
6
Lattice="0.000 4.038 4.038 4.038 0.000 4.038 4.038 4.038 0.000" Properties=species:S:1:pos:R:3 pbc="T T T"
Ba 0.000 0.000 0.000
Tl 2.019 2.019 2.019
Au 5.041 3.034 3.034
Au 3.034 5.041 3.034
Au 3.034 3.034 5.041
Au 5.041 5.041 5.041
```

Properties
As for the formation energy: -399 meV/atom. For the density of states at the Fermi level, the calculation gives 4.11 states/eV per cell. The energy comes out at -390.93 eV per cell.

=====

A plane-wave DFT calculation with SCAN was carried out for a PBEsol-optimized structure of BaTl3Au.

```
5
Lattice="5.470 0.000 0.000 0.000 5.470 0.000 0.000 0.000 5.470" Properties=species:S:1:pos:R:3 pbc="T T T"
Ba 0.000 0.000 0.000
Tl 0.000 2.735 2.735
Tl 2.735 0.000 2.735
Tl 2.735 2.735 0.000
Au 2.735 2.735 2.735
```

Properties
As for the formation energy: -129 meV/atom. For the density of states at the Fermi level, the calculation gives 3.92 states/eV per cell. The energy comes out at -326.43 eV per cell.

=====

> Among the records above, which one has the highest energy?

BaTlAu

=====

> energy of number 3 (BaTl3Au)?

-326.43 eV per cell

=====

> energy of number 2 (BaTlAu4)?

-390.93 eV per cell